No. 1
DFT (GGA-PBEsol) results for a relaxed PrMgTi2O6 crystal.

Geometry as POSCAR:
```
PrMgTi2O6
1.0
7.607 0.000 0.000
0.000 5.476 0.000
0.000 0.000 5.302
Pr Mg Ti O
2 2 4 12
Direct
0.000 0.201 0.000
0.500 0.799 0.500
0.000 0.696 0.529
0.500 0.304 0.029
0.249 0.745 0.009
0.251 0.255 0.509
0.749 0.255 0.509
0.751 0.745 0.009
0.000 0.292 0.431
0.000 0.771 0.136
0.193 0.944 0.698
0.199 0.469 0.793
0.301 0.531 0.293
0.307 0.056 0.198
0.500 0.229 0.636
0.500 0.708 0.931
0.693 0.056 0.198
0.699 0.531 0.293
0.801 0.469 0.793
0.807 0.944 0.698
```

Output
ΔE_f (raw): -3.053 eV per atom
SG: Pmn2_1 (31)


No. 2
DFT (GGA-PBEsol) results for a relaxed CaMg3 crystal.

Geometry as POSCAR:
```
CaMg3
1.0
4.727 0.000 0.000
0.000 4.727 0.000
0.000 0.000 4.727
Ca Mg
1 3
Direct
0.000 0.000 0.000
0.000 0.500 0.500
0.500 0.000 0.500
0.500 0.500 0.000
```

Output
formation energy: -0.0391 eV/atom
SG: Pm-3m (221)